No. 1
Here is a relaxed structure of Hf2Sc4Ga3N3 from the Open Quantum Materials Database. Energies are from PBE.

CIF file:
```
data_Hf2Sc4Ga3N3
_cell_length_a 5.5857
_cell_length_b 5.5857
_cell_length_c 14.3183
_cell_angle_alpha 101.29
_cell_angle_beta 101.29
_cell_angle_gamma 60.03
_space_group_name_H-M_alt 'P 1'
_space_group_IT_number 1
loop_
_space_group_symop_operation_xyz
'x,y,z'
loop_
_atom_site_label
_atom_site_fract_x
_atom_site_fract_y
_atom_site_fract_z
Hf1 0.0284 0.8581 0.5853
Hf2 0.1419 0.9716 0.9147
Hf3 0.8581 0.0284 0.0853
Hf4 0.9716 0.1419 0.4147
Sc1 0.1959 0.3670 0.0894
Sc2 0.3073 0.4667 0.4106
Sc3 0.3670 0.1959 0.5894
Sc4 0.4667 0.3073 0.9106
Sc5 0.5333 0.6927 0.0894
Sc6 0.6330 0.8041 0.4106
Sc7 0.6927 0.5333 0.5894
Sc8 0.8041 0.6330 0.9106
Ga1 0.0815 0.2344 0.7491
Ga2 0.2344 0.0815 0.2491
Ga3 0.4005 0.5995 0.7500
Ga4 0.5995 0.4005 0.2500
Ga5 0.7656 0.9185 0.7509
Ga6 0.9185 0.7656 0.2509
N1 0.0000 0.5000 0.5000
N2 0.1636 0.6729 0.0000
N3 0.3271 0.8364 0.5000
N4 0.5000 0.0000 0.0000
N5 0.6729 0.1636 0.5000
N6 0.8364 0.3271 0.0000
```

Summary:
The space group is C2/c (15). Its total energy is -0.5750 Ry/atom. The calculation puts the total magnetization at 0.004 μB/f.u. The crystal system is monoclinic.


No. 2
Here is a relaxed structure of Hf4Ta2Ga3N3 from the Open Quantum Materials Database. Energies are from PBE.

CIF file:
```
data_Hf4Ta2Ga3N3
_cell_length_a 5.4745
_cell_length_b 5.4745
_cell_length_c 14.1096
_cell_angle_alpha 101.14
_cell_angle_beta 101.14
_cell_angle_gamma 60.09
_space_group_name_H-M_alt 'P 1'
_space_group_IT_number 1
loop_
_space_group_symop_operation_xyz
'x,y,z'
loop_
_atom_site_label
_atom_site_fract_x
_atom_site_fract_y
_atom_site_fract_z
Hf1 0.0303 0.1988 0.0942
Hf2 0.1363 0.3020 0.4059
Hf3 0.1988 0.0303 0.5942
Hf4 0.3020 0.1363 0.9059
Hf5 0.6980 0.8637 0.0941
Hf6 0.8012 0.9697 0.4058
Hf7 0.8637 0.6980 0.5941
Hf8 0.9697 0.8012 0.9058
Ta1 0.3635 0.5289 0.0854
Ta2 0.4711 0.6365 0.4146
Ta3 0.5289 0.3635 0.5854
Ta4 0.6365 0.4711 0.9146
Ga1 0.1124 0.8876 0.2500
Ga2 0.2807 0.4172 0.7494
Ga3 0.4172 0.2807 0.2494
Ga4 0.5828 0.7193 0.7506
Ga5 0.7193 0.5828 0.2506
Ga6 0.8876 0.1124 0.7500
N1 0.0000 0.5000 0.0000
N2 0.1572 0.6711 0.5000
N3 0.3289 0.8428 0.0000
N4 0.5000 0.0000 0.5000
N5 0.6711 0.1572 0.0000
N6 0.8428 0.3289 0.5000
```

Summary:
The space group is C2/c (15). Its total energy is -0.6693 Ry/atom. The calculation puts the total magnetization at 0.000 μB/f.u. The crystal system is monoclinic.


No. 3
Here is a relaxed structure of Hf2Ta4Ga3N3 from the Open Quantum Materials Database. Energies are from PBE.

CIF file:
```
data_Hf2Ta4Ga3N3
_cell_length_a 5.4467
_cell_length_b 5.4467
_cell_length_c 13.8690
_cell_angle_alpha 101.29
_cell_angle_beta 101.29
_cell_angle_gamma 60.16
_space_group_name_H-M_alt 'P 1'
_space_group_IT_number 1
loop_
_space_group_symop_operation_xyz
'x,y,z'
loop_
_atom_site_label
_atom_site_fract_x
_atom_site_fract_y
_atom_site_fract_z
Hf1 0.0332 0.8663 0.6007
Hf2 0.1337 0.9668 0.8993
Hf3 0.8663 0.0332 0.1007
Hf4 0.9668 0.1337 0.3993
Ta1 0.1955 0.3657 0.0854
Ta2 0.3100 0.4664 0.4145
Ta3 0.3657 0.1955 0.5854
Ta4 0.4664 0.3100 0.9145
Ta5 0.5336 0.6900 0.0855
Ta6 0.6343 0.8045 0.4146
Ta7 0.6900 0.5336 0.5855
Ta8 0.8045 0.6343 0.9146
Ga1 0.0817 0.2979 0.7491
Ga2 0.2979 0.0817 0.2491
Ga3 0.4671 0.5329 0.7500
Ga4 0.5329 0.4671 0.2500
Ga5 0.7021 0.9183 0.7509
Ga6 0.9183 0.7021 0.2509
N1 0.0000 0.5000 0.5000
N2 0.1561 0.6881 0.0001
N3 0.3119 0.8439 0.4999
N4 0.5000 0.0000 0.0000
N5 0.6881 0.1561 0.5001
N6 0.8439 0.3119 0.9999
```

Summary:
The space group is C2/c (15). Its total energy is -0.6788 Ry/atom. The calculation puts the total magnetization at 0.002 μB/f.u. The crystal system is monoclinic.


No. 4
Here is a relaxed structure of Hf4TlGaN2 from the Open Quantum Materials Database. Energies are from PBE.

CIF file:
```
data_Hf4TlGaN2
_cell_length_a 3.2404
_cell_length_b 3.2404
_cell_length_c 14.3148
_cell_angle_alpha 90.00
_cell_angle_beta 90.00
_cell_angle_gamma 120.00
_space_group_name_H-M_alt 'P 1'
_space_group_IT_number 1
loop_
_space_group_symop_operation_xyz
'x,y,z'
loop_
_atom_site_label
_atom_site_fract_x
_atom_site_fract_y
_atom_site_fract_z
Hf1 0.0000 0.0000 0.1531
Hf2 0.0000 0.0000 0.8469
Hf3 0.6667 0.3333 0.3271
Hf4 0.6667 0.3333 0.6729
Tl1 0.0000 0.0000 0.5000
Ga1 0.6667 0.3333 0.0000
N1 0.3333 0.6667 0.2405
N2 0.3333 0.6667 0.7595
```

Summary:
The space group is P-6m2 (187). Its total energy is -0.6436 Ry/atom. The calculation puts the total magnetization at 0.005 μB/f.u. The crystal system is hexagonal.